Here is a relaxed Dy5Sc6 crystal from Alexandria via LeMat-Bulk. Energies are from PBE-GGA.

The structure in extended XYZ format:
```
11
Lattice="-2.6401 3.8181 7.6600 2.6401 -3.8181 7.6600 2.6401 3.8181 -7.6600" Properties=species:S:1:pos:R:3 pbc="T T T"
Dy 0.0000 0.0000 0.0000
Dy 2.6401 0.0000 2.4811
Dy 0.0000 0.0000 4.6076
Dy 0.0000 0.0000 10.7124
Dy 0.0000 3.8181 5.1789
Sc 2.6401 -1.5458 5.5950
Sc 2.6401 2.2701 0.0000
Sc 0.0000 2.2723 2.0650
Sc 2.6401 1.5458 5.5950
Sc 0.0000 1.5480 7.6600
Sc 0.0000 5.3639 2.0650
```

Properties
Energy of formation from the pure elements, eV per atom: 0.1316
Relative energy among the computed polymorphs, meV per atom: 0.0
Total magnetic moment, μB per cell: 0.0

Here is a relaxed Dy3Sc crystal from Alexandria via LeMat-Bulk. Energies are from PBE-GGA.

The structure in extended XYZ format:
```
8
Lattice="3.5512 0.0000 0.0000 0.0000 11.0399 0.0000 0.0000 0.0000 6.1231" Properties=species:S:1:pos:R:3 pbc="T T T"
Dy 0.0000 0.0000 0.0000
Dy 0.0000 2.7012 2.0796
Dy 0.0000 8.3387 2.0796
Dy 1.7756 2.8188 5.1411
Dy 1.7756 5.5200 3.0616
Dy 1.7756 8.2211 5.1411
Sc 0.0000 5.5200 0.0374
Sc 1.7756 0.0000 3.0989
```

Properties
Energy of formation from the pure elements, eV per atom: 0.0256
Relative energy among the computed polymorphs, meV per atom: 7.7
Total magnetic moment, μB per cell: 0.0

Here is a relaxed Dy8Sc3 crystal from Alexandria via LeMat-Bulk. Energies are from PBE-GGA.

The structure in extended XYZ format:
```
11
Lattice="4.7038 2.7157 4.3834 -4.7038 2.7157 4.3834 0.0000 -5.4315 4.3834" Properties=species:S:1:pos:R:3 pbc="T T T"
Dy 0.0000 0.0000 1.6011
Dy -2.0310 0.3229 5.0818
Dy 0.7359 -1.9204 5.0818
Dy -1.2952 -1.5975 8.0684
Dy 1.2952 1.5975 5.0818
Dy -0.7359 1.9204 8.0684
Dy 2.0310 -0.3229 8.0684
Dy 0.0000 0.0000 11.5491
Sc -4.7038 0.0000 6.5751
Sc -2.3519 1.3579 2.1917
Sc 2.3519 1.3579 2.1917
```

Properties
Energy of formation from the pure elements, eV per atom: 0.4800
Relative energy among the computed polymorphs, meV per atom: 435.8
Total magnetic moment, μB per cell: 0.0

Here is a relaxed Dy2Sc crystal from Alexandria via LeMat-Bulk. Energies are from PBE-GGA.

The structure in extended XYZ format:
```
6
Lattice="0.0000 4.5030 4.5030 4.5030 0.0000 4.5030 4.5030 4.5030 0.0000" Properties=species:S:1:pos:R:3 pbc="T T T"
Dy 0.0000 0.0000 0.0000
Dy 2.2515 2.2515 0.0000
Dy 2.2515 0.0000 2.2515
Dy 0.0000 2.2515 2.2515
Sc 3.3773 3.3773 3.3773
Sc 5.6288 5.6288 5.6288
```

Properties
Energy of formation from the pure elements, eV per atom: 0.3420
Relative energy among the computed polymorphs, meV per atom: 297.6
Total magnetic moment, μB per cell: 0.0

Number 1: uncorrected energy -5.414 eV per atom. Number 2: uncorrected energy -5.009 eV per atom. Number 3: uncorrected energy -4.594 eV per atom. Number 4: uncorrected energy -4.837 eV per atom.